LiBe4Cr, optimized geometry, DFT PBE; VASP energy = -0.1584 hartree per atom; DOS(E_F) = 2.8 states/eV per cell; space group = F-43m, No. 216
1.0
0.000 3.104 3.104
3.104 0.000 3.104
3.104 3.104 0.000
Li Be Cr
1 4 1
Direct
0.000 0.000 0.000 Li
0.127 0.624 0.624 Be
0.624 0.127 0.624 Be
0.624 0.624 0.127 Be
0.624 0.624 0.624 Be
0.250 0.250 0.250 Cr

***

Be3CdRh, optimized geometry, DFT PBE; VASP energy = -0.1312 hartree per atom; DOS(E_F) = 2.1 states/eV per cell; space group = Pm-3m, No. 221
1.0
4.231 0.000 0.000
0.000 4.231 0.000
0.000 0.000 4.231
Be Cd Rh
3 1 1
Direct
0.000 0.000 0.500 Be
0.000 0.500 0.000 Be
0.500 0.000 0.000 Be
0.500 0.500 0.500 Cd
0.000 0.000 0.000 Rh

***

Mn2GaOsRu, optimized geometry, DFT PBE; VASP energy = -0.2524 hartree per atom; DOS(E_F) = 7.3 states/eV per cell; space group = P4/mmm, No. 123
1.0
4.340 0.000 0.000
0.000 4.340 0.000
0.000 0.000 4.641
Mn Ga Os Ru
2 1 1 1
Direct
0.000 0.500 0.000 Mn
0.500 0.000 0.000 Mn
0.000 0.000 0.500 Ga
0.500 0.500 0.500 Os
0.000 0.000 0.000 Ru